VASP calculation (PBE) on crystalline SrCaSb2I at its relaxed geometry.

Output
ΔE to the lowest computed polymorph (meV per atom): 0
DFT total energy (eV/atom): -3.081
Total magnetic moment (Bohr magnetons per cell): 0.01
ΔE_f (raw) (kJ/mol of formula units): -186
DOS(E_F) (states/eV/f.u.): 7.4

Structure (POSCAR):
```
SrCaSb2I
1.0
5.801 0.000 0.000
0.000 5.801 0.000
0.000 0.000 5.993
I Sr Sb Ca
1 1 2 1
direct
0.000 0.000 0.500
0.500 0.500 0.500
0.000 0.500 0.000
0.500 0.000 0.000
0.000 0.000 0.000
```